No. 1
First-principles (PBE) data for an optimized crystal structure of CaTiCr2Pd, as listed in Alexandria via LeMat-Bulk.

Computed properties:
- Calculated formation energy: 6.314 eV/f.u.
- DFT total energy: -5.604 eV per atom

Cell: 4.2562 5.4305 4.2562 Å, 90.00 90.00 90.00°
Last column: nearest neighbours and their distance in Å.
Fractional coordinates of all 5 atoms:
Cr 0.5000 0.0000 0.0000  2 Ti 2.13
Cr 0.0000 0.0000 0.5000  2 Ti 2.13
Ti 0.0000 0.0000 0.0000  4 Cr 2.13
Pd 0.5000 0.5000 0.5000  4 Ca 3.01
Ca 0.0000 0.5000 0.0000  2 Ti 2.72, 4 Pd 3.01

No. 2
First-principles (PBE) data for an optimized crystal structure of Ca4Cr2Pt, as listed in Alexandria via LeMat-Bulk.

Computed properties:
- Calculated formation energy: 2.025 eV/f.u.
- DFT total energy: -4.467 eV per atom

Cell: 5.4788 5.4788 8.7738 Å, 71.81 71.81 90.00°
Last column: nearest neighbours and their distance in Å.
Fractional coordinates of all 7 atoms:
Ca 0.8193 0.8193 0.3614  1 Pt 2.84
Ca 0.5000 0.0000 0.0000  2 Pt 2.74
Ca 0.0000 0.5000 0.0000  2 Pt 2.74
Ca 0.1807 0.1807 0.6386  1 Pt 2.84
Pt 0.0000 0.0000 0.0000  6 Ca 2.74-2.84
Cr 0.3847 0.3847 0.2306  5 Ca 3.21-3.29
Cr 0.6153 0.6153 0.7694  5 Ca 3.21-3.29

No. 3
First-principles (PBE) data for an optimized crystal structure of CaCrPt, as listed in Alexandria via LeMat-Bulk.

Computed properties:
- Calculated formation energy: -0.557 eV/f.u.
- ΔE to the lowest computed polymorph: 109.1 meV/atom
- DFT total energy: -6.074 eV per atom

Cell: 4.3791 4.3791 4.0382 Å, 90.00 90.00 120.00°
Last column: nearest neighbours and their distance in Å.
Fractional coordinates of all 3 atoms:
Pt 0.3333 0.6667 0.4999  3 Cr 2.53
Ca 0.0000 0.0000 0.0000  6 Pt 3.24, 6 Cr 3.24
Cr 0.6667 0.3333 0.5000  3 Pt 2.53

For each record above, in turn, the calculated total magnetic moment values are 0.00; 10.02; 4.13 Bohr magnetons per cell.